Material: Ba3Cd2Sb4
Method: DFT, GGA-PBE
State: relaxed

**Uncorrected energy**: -3.4519 eV/atom

CIF file:
```
data_Ba3Cd2Sb4
_cell_length_a 18.088
_cell_length_b 4.926
_cell_length_c 7.787
_cell_angle_alpha 90.00
_cell_angle_beta 112.10
_cell_angle_gamma 90.00
_space_group_name_H-M_alt 'C 1 m 1'
_space_group_IT_number 8
_space_group_name_Hall 'C -2y'
loop_
_atom_site_label
_atom_site_type_symbol
_atom_site_fract_x
_atom_site_fract_y
_atom_site_fract_z
Ba1 Ba 0.000 0.000 0.000
Ba2 Ba 0.142 0.000 0.594
Ba3 Ba 0.285 0.000 0.188
Cd1 Cd 0.309 0.500 0.566
Cd2 Cd 0.476 0.000 0.622
Sb1 Sb 0.142 0.500 0.910
Sb2 Sb 0.143 0.500 0.279
Sb3 Sb 0.350 0.000 0.791
Sb4 Sb 0.435 0.500 0.397
```



Material: Ba2CdSb2
Method: DFT, GGA-PBE
State: relaxed

**Uncorrected energy**: -3.4615 eV/atom

CIF file:
```
data_Ba2CdSb2
_cell_length_a 7.416
_cell_length_b 14.493
_cell_length_c 7.190
_cell_angle_alpha 90.00
_cell_angle_beta 90.00
_cell_angle_gamma 90.00
_space_group_name_H-M_alt 'I b a m'
_space_group_IT_number 72
_space_group_name_Hall '-I 2 2c'
loop_
_atom_site_label
_atom_site_type_symbol
_atom_site_fract_x
_atom_site_fract_y
_atom_site_fract_z
Ba1 Ba 0.199 0.138 0.000
Cd1 Cd 0.000 0.500 0.250
Sb1 Sb 0.219 0.383 0.000
```



Look up the uncorrected energy of the first one.
-3.4519 eV/atom



Number 1 is which compound?
Ba3Cd2Sb4